# 1
# Tm2Zn5Pd, relaxed, DFT PBE
# Magnetic moment in μB per formula unit: 0.0
# Raw total energy in eV per atom: -2.993
# Calculated density in kg/m³: 8632
# DOS at the Fermi energy in states/eV per atom: 0.43
# Space group: Cmcm, No. 63
data_Tm2Zn5Pd
_symmetry_space_group_name_H-M 'P 1'
_symmetry_Int_Tables_number 1
_cell_length_a 3.961
_cell_length_b 8.456
_cell_length_c 9.114
_cell_angle_alpha 90.00
_cell_angle_beta 90.00
_cell_angle_gamma 103.55
loop_
_symmetry_equiv_pos_as_xyz
'x,y,z'
loop_
_atom_site_label
_atom_site_fract_x
_atom_site_fract_y
_atom_site_fract_z
Tm1 0.000 0.000 0.000
Tm2 0.819 0.637 0.750
Tm3 0.181 0.363 0.250
Tm4 0.000 0.000 0.500
Pd1 0.545 0.091 0.250
Pd2 0.455 0.909 0.750
Zn1 0.798 0.597 0.394
Zn2 0.360 0.720 0.978
Zn3 0.390 0.780 0.250
Zn4 0.610 0.220 0.750
Zn5 0.202 0.403 0.606
Zn6 0.640 0.280 0.478
Zn7 0.202 0.403 0.894
Zn8 0.640 0.280 0.022
Zn9 0.798 0.597 0.106
Zn10 0.360 0.720 0.522

---

# 2
# CsRe2I, relaxed, DFT PBE
# Magnetic moment in μB per formula unit: 0.0
# Calculated density in kg/m³: 8808
# Offset from the most stable computed form in meV per atom: 0
# DOS at the Fermi energy in states/eV per atom: 0.50
# Energy relative to the elements, uncorrected in eV per atom: 1.652
# Space group: I-42d, No. 122
data_CsRe2I
_symmetry_space_group_name_H-M 'P 1'
_symmetry_Int_Tables_number 1
_cell_length_a 4.975
_cell_length_b 4.975
_cell_length_c 10.255
_cell_angle_alpha 75.96
_cell_angle_beta 75.96
_cell_angle_gamma 90.00
loop_
_symmetry_equiv_pos_as_xyz
'x,y,z'
loop_
_atom_site_label
_atom_site_fract_x
_atom_site_fract_y
_atom_site_fract_z
Re1 0.426 0.625 0.250
Re2 0.324 0.125 0.250
Re3 0.875 0.574 0.750
Re4 0.375 0.676 0.750
I1 0.250 0.750 0.500
I2 0.500 0.500 0.000
Cs1 0.750 0.250 0.500
Cs2 0.000 0.000 0.000

---

# 3
# NdDyZnIr, relaxed, DFT PBE
# Magnetic moment in μB per formula unit: 0.0
# Calculated density in kg/m³: 10498
# Offset from the most stable computed form in meV per atom: 11
# DOS at the Fermi energy in states/eV per atom: 0.55
# Space group: F-43m, No. 216
data_NdDyZnIr
_symmetry_space_group_name_H-M 'P 1'
_symmetry_Int_Tables_number 1
_cell_length_a 5.016
_cell_length_b 5.016
_cell_length_c 5.016
_cell_angle_alpha 60.00
_cell_angle_beta 60.00
_cell_angle_gamma 60.00
loop_
_symmetry_equiv_pos_as_xyz
'x,y,z'
loop_
_atom_site_label
_atom_site_fract_x
_atom_site_fract_y
_atom_site_fract_z
Zn1 0.000 0.000 0.000
Nd1 0.250 0.250 0.250
Ir1 0.500 0.500 0.500
Dy1 0.750 0.750 0.750

---

# 4
# Tm2CdPd4, relaxed, DFT PBE
# Magnetic moment in μB per formula unit: 0.0
# Calculated density in kg/m³: 11088
# Offset from the most stable computed form in meV per atom: 0
# DOS at the Fermi energy in states/eV per atom: 0.35
# Space group: P1, No. 1
data_Tm2CdPd4
_symmetry_space_group_name_H-M 'P 1'
_symmetry_Int_Tables_number 1
_cell_length_a 7.629
_cell_length_b 5.739
_cell_length_c 7.135
_cell_angle_alpha 98.34
_cell_angle_beta 111.32
_cell_angle_gamma 109.08
loop_
_symmetry_equiv_pos_as_xyz
'x,y,z'
loop_
_atom_site_label
_atom_site_fract_x
_atom_site_fract_y
_atom_site_fract_z
Pd1 0.430 0.551 0.186
Pd2 0.734 0.032 0.598
Pd3 0.035 0.665 0.049
Pd4 0.285 0.262 0.466
Pd5 0.580 0.803 0.898
Pd6 0.176 0.981 0.770
Pd7 0.880 0.334 0.296
Pd8 0.745 0.552 0.597
Tm1 0.463 0.076 0.212
Tm2 0.136 0.462 0.745
Tm3 0.604 0.309 0.852
Tm4 0.870 0.827 0.329
Cd1 0.304 0.760 0.478
Cd2 0.008 0.135 0.025